## HgPPdS2 (PBE)

Data for crystalline HgPPdS2 at its relaxed geometry.

a b c (Å): 4.983 4.983 4.965
angles (deg): 90.00 90.00 90.00
Space group P4/mmm (No. 123)
One atom of each set of equivalent atoms:
Hg1 0.000 0.000 0.000 [1 per cell]
P1 0.000 0.000 0.500 [1 per cell]
Pd1 0.500 0.500 0.500 [1 per cell]
S1 0.000 0.500 0.000 [2 per cell]

Calculated values
* energy: -12.52 eV for the cell shown
* D(E_F): 6.654 states/eV per cell